Here is Na5B8C2 after structural relaxation from the Alexandria database. Energies are from PBE.

ΔE to the lowest computed polymorph = 16 meV/atom
DFT formation energy = 4.3 kcal/mol of atoms
total magnetic moment = 0.00 Bohr magnetons per cell
crystal system = monoclinic

Cell: 18.0752 2.8307 13.6458 Å, 90.00 112.58 90.00°
With the nearest neighbours (Å) after each atom.
Space group Cm (No. 8)
Inequivalent atoms, fractional coordinates:
Na (0.0000, 0.0000, 0.0000) x2  11 B 2.69-2.89, 4 Na 2.83-2.98, 1 C 2.86
Na (0.9996, 0.0000, 0.4929) x2  9 B 2.68-2.85, 3 C 2.74-2.78, 4 Na 2.83-2.96
Na (0.0989, 0.5000, 0.6950) x2  12 B 2.70-2.98, 4 Na 2.83-3.01
Na (0.1008, 0.5000, 0.1986) x2  7 B 2.64-2.79, 5 C 2.66-2.77, 4 Na 2.83-2.95
Na (0.1985, 0.0000, 0.3951) x2  8 B 2.68-2.76, 4 C 2.71-2.77, 6 Na 2.83-2.97
Na (0.1991, 0.0000, 0.8992) x2  11 B 2.68-2.90, 4 Na 2.83-2.99, 1 C 2.89
Na (0.2964, 0.5000, 0.5938) x2  10 B 2.68-2.85, 2 C 2.79, 4 Na 2.83-2.97
Na (0.2992, 0.5000, 0.0995) x2  9 B 2.66-2.90, 3 C 2.68-2.77, 4 Na 2.83-2.95
Na (0.3980, 0.0000, 0.2964) x2  7 B 2.68-2.76, 5 C 2.69-2.75, 6 Na 2.83-2.96
Na (0.3988, 0.0000, 0.7973) x2  12 B 2.70-3.02, 4 Na 2.83-3.02
B (0.0287, 0.0000, 0.8064) x2  3 B 1.70-1.83
B (0.0619, 0.5000, 0.3713) x2  2 C 1.61, 1 B 1.72
B (0.0722, 0.5000, 0.8945) x2  3 B 1.80-1.83
B (0.1278, 0.5000, 0.5018) x2  3 B 1.72
B (0.1403, 0.5000, 0.0314) x2  2 C 1.64, 1 B 1.80
B (0.1648, 0.0000, 0.5764) x2  3 B 1.69-1.72
B (0.2286, 0.0000, 0.7051) x2  3 B 1.69-1.76
B (0.2348, 0.0000, 0.2195) x2  3 C 1.64-1.66
B (0.2675, 0.5000, 0.7844) x2  3 B 1.65-1.76
B (0.3291, 0.5000, 0.4058) x2  3 C 1.63-1.65
B (0.3295, 0.5000, 0.9102) x2  3 B 1.65-1.78
B (0.3705, 0.0000, 0.9923) x2  3 B 1.65-1.78
B (0.4208, 0.0000, 0.5889) x2  1 C 1.57
B (0.4334, 0.0000, 0.1172) x2  3 B 1.65-1.75
B (0.4645, 0.5000, 0.6774) x2  3 B 1.70-1.83
B (0.4730, 0.5000, 0.1954) x2  1 C 1.55
C (0.0324, 0.0000, 0.3130) x2  3 B 1.55-1.61
C (0.1715, 0.0000, 0.0940) x2  3 B 1.64-1.66
C (0.2665, 0.5000, 0.2822) x2  3 B 1.63-1.64
C (0.3616, 0.0000, 0.4697) x2  3 B 1.57-1.65